#1
The following is a DFT calculation (PBE-GGA) of Fe3CSe after structural relaxation.

a = 3.813 Å, b = 3.813 Å, c = 3.813 Å
α = 90.00°, β = 90.00°, γ = 90.00°
Site moments in Bohr magnetons follow the coordinates.
Sites, in units of the cell vectors:
Fe: 0.500 0.000 0.000  0.31
Fe: 0.000 0.500 0.000  0.40
C: 0.000 0.000 0.000  -0.03
Fe: 0.000 0.000 0.500  0.38
Se: 0.500 0.500 0.500  0.00


#2
The following is a DFT calculation (PBE-GGA) of Fe3CSe after structural relaxation.

a = 4.371 Å, b = 4.371 Å, c = 4.371 Å
α = 90.00°, β = 90.00°, γ = 90.00°
Site moments in Bohr magnetons follow the coordinates.
Sites, in units of the cell vectors:
Fe: 0.000 0.000 0.500  2.15
Se: 0.000 0.000 0.000  -0.07
C: 0.500 0.500 0.500  -0.46
Fe: 0.000 0.500 0.000  2.33
Fe: 0.500 0.000 0.000  2.54


So which one wins? Going from most stable to least: #1, #2.


#1
The following is a DFT calculation (PBE-GGA) of FeC3Se after structural relaxation.

a = 3.818 Å, b = 3.818 Å, c = 3.818 Å
α = 90.00°, β = 90.00°, γ = 90.00°
Sites, in units of the cell vectors:
C: 0.000 0.000 0.500
C: 0.500 0.000 0.000
Fe: 0.000 0.000 0.000
Se: 0.500 0.500 0.500
C: 0.000 0.500 0.000


#2
The following is a DFT calculation (PBE-GGA) of FeC3Se after structural relaxation.

a = 3.811 Å, b = 3.811 Å, c = 3.811 Å
α = 90.00°, β = 90.00°, γ = 90.00°
Site moments in Bohr magnetons follow the coordinates.
Sites, in units of the cell vectors:
C: 0.500 0.000 0.000  0.03
C: 0.000 0.500 0.000  0.04
Fe: 0.500 0.500 0.500  -0.14
Se: 0.000 0.000 0.000  0.00
C: 0.000 0.000 0.500  0.04


So which one wins? Going from most stable to least: #1, #2.


#1
The following is a DFT calculation (PBE-GGA) of Y2FeCSe after structural relaxation.

a = 4.879 Å, b = 4.064 Å, c = 4.879 Å
α = 90.00°, β = 90.00°, γ = 90.00°
Site moments in Bohr magnetons follow the coordinates.
Sites, in units of the cell vectors:
Se: 0.000 0.500 0.000  -0.01
Y: 0.000 0.000 0.500  0.03
Fe: 0.500 0.500 0.500  -0.16
Y: 0.500 0.000 0.000  0.03
C: 0.000 0.000 0.000  -0.02


#2
The following is a DFT calculation (PBE-GGA) of Y2FeCSe after structural relaxation.

a = 5.018 Å, b = 5.018 Å, c = 3.679 Å
α = 90.00°, β = 90.00°, γ = 90.00°
Site moments in Bohr magnetons follow the coordinates.
Sites, in units of the cell vectors:
Y: 0.000 0.500 0.000  -0.06
Fe: 0.000 0.000 0.500  1.25
Se: 0.500 0.500 0.500  0.04
Y: 0.500 0.000 0.000  -0.06
C: 0.000 0.000 0.000  -0.04


So which one wins? Going from most stable to least: #2, #1.